This record from Alexandria describes crystalline TiTcP at its relaxed geometry. The functional is PBE.

Output
Fermi-level density of states (states/eV per cell): 1.9
ΔH_f (0 K) (meV/atom): -815
Energy relative to the lowest polymorph listed for this composition (eV per atom): 0.1879

Cell lengths 5.7316, 5.0216, 3.1831 Å; angles 108.49, 90.00, 90.00 degrees
Fractional positions:
Tc  0.3740  0.1791  0.0238
P  0.1179  0.3966  0.6327
Ti  0.1427  0.7861  0.3275
P  0.6179  0.9321  0.4003
Ti  0.6428  0.5426  0.7054
Tc  0.8740  0.1496  0.0091

=====

This record from Alexandria describes crystalline Tb12Dy6Ho at its relaxed geometry. The functional is PBE.

Output
Fermi-level density of states (states/eV per cell): 24.6
ΔH_f (0 K) (meV/atom): 448
Energy relative to the lowest polymorph listed for this composition (eV per atom): 0.2954

Cell lengths 9.3577, 9.3577, 9.3577 Å; angles 108.58, 108.58, 108.58 degrees
Fractional positions:
Tb  0.1092  0.8908  0.5000
Dy  0.2497  0.6771  0.6771
Tb  0.3655  0.1546  0.3655
Tb  0.1092  0.5000  0.8908
Dy  0.7503  0.3229  0.3229
Ho  0.0000  0.0000  0.0000
Dy  0.6771  0.6771  0.2497
Tb  0.6345  0.8454  0.6345
Tb  0.3655  0.3655  0.1546
Dy  0.3229  0.3229  0.7503
Tb  0.5000  0.8908  0.1092
Tb  0.6345  0.6345  0.8454
Tb  0.1546  0.3655  0.3655
Tb  0.8908  0.5000  0.1092
Tb  0.8454  0.6345  0.6345
Tb  0.5000  0.1092  0.8908
Tb  0.8908  0.1092  0.5000
Dy  0.3229  0.7503  0.3229
Dy  0.6771  0.2497  0.6771

=====

This record from Alexandria describes crystalline K2BaReO4 at its relaxed geometry. The functional is PBE.

Output
Fermi-level density of states (states/eV per cell): 6.6
ΔE_f (raw) (meV/atom): -1764

Cell lengths 5.8177, 5.8177, 5.8177 Å; angles 101.68, 113.50, 113.50 degrees
Site moments in Bohr magnetons follow the coordinates.
Fractional positions:
O  0.9988  0.7094  0.2879  0.05
O  0.0012  0.2891  0.7107  0.05
K  0.0000  0.0000  0.0000  0.00
O  0.5785  0.2893  0.2906  0.05
Re  0.0000  0.5000  0.5000  0.68
O  0.4215  0.7121  0.7109  0.05
K  0.5000  0.7500  0.2500  0.00
Ba  0.5000  0.2500  0.7500  0.01

=====

This record from Alexandria describes crystalline SmDyIr2 at its relaxed geometry. The functional is PBE.

Output
Fermi-level density of states (states/eV per cell): 0.8
ΔH_f (0 K) (meV/atom): -720
Energy relative to the lowest polymorph listed for this composition (eV per atom): 0.0000

Cell lengths 3.6149, 4.7953, 4.7953 Å; angles 90.00, 90.00, 90.00 degrees
Fractional positions:
Sm  0.5000  0.0000  0.0000
Ir  0.0000  0.0000  0.5000
Ir  0.0000  0.5000  0.0000
Dy  0.5000  0.5000  0.5000